# HfSc2Cd

A relaxed structure of HfSc2Cd (PBEsol, Alexandria via LeMat-Bulk).

The structure in extended XYZ format:
```
12
Lattice="3.0562 0.0000 0.0000 -1.5281 2.6467 0.0000 0.0000 0.0000 33.0788" Properties=species:S:1:pos:R:3 pbc="T T T"
Hf 0.0000 0.0000 0.0000
Hf 0.0000 1.7645 22.0526
Hf 1.5281 0.8822 11.0263
Sc 0.0000 0.0000 2.9809
Sc 0.0000 0.0000 30.0979
Sc 0.0000 1.7645 19.0717
Sc 0.0000 1.7645 25.0334
Sc 1.5281 0.8822 8.0454
Sc 1.5281 0.8822 14.0072
Cd 0.0000 0.0000 16.5394
Cd 0.0000 1.7645 5.5132
Cd 1.5281 0.8822 27.5657
```

Computed properties:
E_form = 86 kJ/mol of formula units

# HfCdSe2

A relaxed structure of HfCdSe2 (PBEsol, Alexandria via LeMat-Bulk).

The structure in extended XYZ format:
```
12
Lattice="3.5963 0.0000 0.0000 -1.7982 3.1145 0.0000 0.0000 0.0000 27.2017" Properties=species:S:1:pos:R:3 pbc="T T T"
Hf 0.0000 0.0000 0.0000
Hf 0.0000 2.0763 18.1345
Hf 1.7982 1.0382 9.0672
Cd 0.0000 0.0000 13.6009
Cd 0.0000 2.0763 4.5336
Cd 1.7982 1.0382 22.6681
Se 0.0000 0.0000 10.6947
Se 0.0000 0.0000 16.5070
Se 0.0000 2.0763 1.6275
Se 0.0000 2.0763 7.4398
Se 1.7982 1.0382 19.7620
Se 1.7982 1.0382 25.5742
```

Computed properties:
energy relative to the elements, uncorrected = -871 meV per atom

# SrHfCd3

A relaxed structure of SrHfCd3 (PBEsol, Alexandria via LeMat-Bulk).

The structure in extended XYZ format:
```
5
Lattice="5.4251 0.0000 0.0000 0.0000 5.4251 0.0000 0.0000 0.0000 5.4251" Properties=species:S:1:pos:R:3 pbc="T T T"
Sr 0.0000 0.0000 0.0000
Hf 2.7125 2.7125 2.7125
Cd 0.0000 2.7125 2.7125
Cd 2.7125 0.0000 2.7125
Cd 2.7125 2.7125 0.0000
```

Computed properties:
E_form = 219 kJ/mol of formula units

# Sr3HfCd

A relaxed structure of Sr3HfCd (PBEsol, Alexandria via LeMat-Bulk).

The structure in extended XYZ format:
```
5
Lattice="6.0233 0.0000 0.0000 0.0000 6.0233 0.0000 0.0000 0.0000 6.0233" Properties=species:S:1:pos:R:3 pbc="T T T"
Sr 0.0000 0.0000 3.0117
Sr 0.0000 3.0117 0.0000
Sr 3.0117 0.0000 0.0000
Hf 3.0117 3.0117 3.0117
Cd 0.0000 0.0000 0.0000
```

Computed properties:
E_form = 388 kJ/mol of formula units